Density functional theory data (PBE) for crystalline Ni3Ru at its relaxed geometry.

a = 2.5821 Å, b = 2.5821 Å, c = 7.0323 Å
α = 90.00°, β = 90.00°, γ = 90.00°
With the nearest neighbours (Å) after each atom.
Element x y z (fractional)
1 Ru 0.5000 0.5000 0.7500  8 Ni 2.57, 4 Ru 2.58
2 Ni 0.5000 0.5000 0.2500  12 Ni 2.50-2.58
3 Ni 0.0000 0.0000 0.0081  8 Ni 2.50-2.58, 4 Ru 2.57
4 Ni 0.0000 0.0000 0.4919  8 Ni 2.50-2.58, 4 Ru 2.57

final energy	-26.2	eV/cell
energy of formation from the pure elements	0.10	eV/atom
space-group type	No. 123
Fermi-level density of states	7.2	states/eV per cell